[1]
A plane-wave DFT calculation with GGA-PBE was carried out for a relaxed CsSiMoPC crystal.

a b c (Å): 3.6032 4.3201 7.6982
angles (deg): 104.99 97.48 101.14
Last column: nearest neighbours and their distance in Å.
Space group P1 (No. 1)
Asymmetric unit:
Cs1 0.0000 0.0000 0.0000 x1  3 C 3.41-3.71, 3 P 3.54-3.73, 2 Cs 3.60, 1 Si 3.76
Si1 0.2734 0.6916 0.5425 x1  1 C 1.90
Mo1 0.6587 0.2296 0.5436 x1  2 C 1.95-2.14
P1 0.7026 0.6457 0.3404 x1  2 Si 2.33-2.35
C1 0.1946 0.3672 0.6694 x1  1 Si 1.90, 1 Mo 1.95

Computed properties:
**Energy relative to the lowest polymorph listed for this composition**: 68.4 meV per atom
**Final energy**: -6.133 eV/atom


[2]
A plane-wave DFT calculation with GGA-PBE was carried out for a relaxed CsSiMoPC crystal.

a b c (Å): 9.1249 3.3040 8.5831
angles (deg): 90.00 117.41 90.00
Last column: nearest neighbours and their distance in Å.
Space group Cm (No. 8)
Asymmetric unit:
Cs1 0.0000 0.0000 0.0000 x2  3 C 3.26-3.57, 2 Cs 3.30, 3 P 3.60-3.62
Si1 0.1620 0.5000 0.4694 x2  1 C 1.95
Mo1 0.4138 0.5000 0.4171 x2  2 C 2.04
P1 0.0725 0.5000 0.6692 x2  1 Si 2.21
C1 0.4331 0.0000 0.2884 x2  1 Si 1.95, 2 Mo 2.04

Computed properties:
**Energy relative to the lowest polymorph listed for this composition**: 99.6 meV per atom
**Final energy**: -6.102 eV/atom